DFT (GGA-PBE) results for a relaxed structure of LuUSi2.

Summary:
ΔE_f (raw) = -0.229 eV/atom
Space group = R-3m (166)

Unit cell a=4.083 b=4.083 c=6.769 alpha=72.45 beta=72.45 gamma=60.00
Each line ends with the local moment (μB).
Fractional positions:
Si  0.746  0.746  0.762  0.04
Si  0.254  0.254  0.238  0.04
Lu  0.500  0.500  0.500  0.04
U  0.000  0.000  0.000  -0.90